No. 1
! Li2V3O8 | Alexandria via LeMat-Bulk | SCAN | PBEsol geometry; values from VASP
&SYSTEM
  ibrav = 0, nat = 26, ntyp = 3
/
ATOMIC_SPECIES
V 50.94 V.upf
O 16.00 O.upf
Li 6.94 Li.upf
ATOMIC_POSITIONS angstrom
V -5.286 -2.883 -1.806
V -2.342 -8.023 1.274
V -4.118 -5.452 0.026
V -2.032 -3.323 1.586
V -5.596 -7.583 -2.118
V -2.150 0.005 2.063
O -4.367 -3.398 -3.056
O -0.962 -4.141 2.742
O -4.738 -1.308 -1.199
O -4.138 -7.851 -2.807
O -1.054 -7.513 0.406
O -3.639 -6.868 1.254
O -2.640 -1.853 2.283
O -3.499 -4.234 1.395
O -1.283 -3.060 0.157
O -2.972 -5.455 -1.074
O -5.463 -6.669 -0.647
O -6.969 -2.800 -2.225
O -1.993 -8.104 2.973
O -6.321 -9.050 -1.535
O -5.322 -4.035 -0.506
O -1.004 0.002 0.964
Li -4.479 -2.690 2.254
Li -6.366 -8.209 0.301
Li -3.514 -6.807 3.270
Li -7.331 -4.092 -0.715
CELL_PARAMETERS angstrom
-3.907 0.009 3.749
-5.743 -2.625 -5.978
1.807 -8.290 1.903
! SG: P4bm, No. 100
! ρ in kg/m3: 2390
! Energy relative to the elements, uncorrected in eV/f.u.: -32.205
! Energy in eV per atom: -10.72

---

No. 2
! Li4V3O8 | Alexandria via LeMat-Bulk | SCAN | PBEsol geometry; values from VASP
&SYSTEM
  ibrav = 0, nat = 15, ntyp = 3
/
ATOMIC_SPECIES
V 50.94 V.upf
Li 6.94 Li.upf
O 16.00 O.upf
ATOMIC_POSITIONS angstrom
V -2.163 0.738 1.577
V -3.571 -1.192 2.993
V -1.408 -1.930 1.416
Li -1.877 0.645 4.458
Li -1.121 -2.022 4.298
Li 0.000 0.000 0.000
Li 0.287 -0.093 2.882
O -3.902 0.029 4.413
O -2.667 -2.598 7.336
O -3.170 -2.555 4.257
O -3.399 -0.014 7.492
O -4.907 -1.923 8.836
O -1.303 -0.729 5.964
O -1.662 -0.646 2.912
O -5.266 -1.840 5.785
CELL_PARAMETERS angstrom
-4.327 1.475 3.154
-2.816 -3.859 2.832
0.573 -0.185 5.763
! SG: R-3m, No. 166
! ρ in kg/m3: 3975
! Energy relative to the elements, uncorrected in eV/f.u.: -36.823
! D(E_F) in states/eV per atom: 0.349
! Polymorph energy (0 for the lowest one) in eV/f.u.: 0.82
! Energy in eV per atom: -9.91